# 1
Material: SrOs2Se
Method: DFT, GGA-PBE
State: relaxed

* DFT total energy: -6.1830 eV/atom

Cell: 2.9275 4.8145 5.3454 Å, 90.00 90.00 90.00°
Space group Pmmm (No. 47)
Inequivalent atoms, fractional coordinates:
Sr 0.0000 0.0000 0.0000
Os 0.0000 0.5000 0.5000
Os 0.5000 0.0000 0.5000
Se 0.5000 0.5000 0.0000

# 2
Material: Ce5Tl6
Method: DFT, GGA-PBE
State: relaxed

* DFT formation energy: -1.6 eV per formula unit
* DFT total energy: -4.1301 eV/atom

Cell: 5.3532 7.8121 15.8013 Å, 90.00 90.00 90.00°
Space group Immm (No. 71)
Inequivalent atoms, fractional coordinates:
Ce 0.0000 0.0000 0.0000
Ce 0.0000 0.0000 0.3090
Ce 0.0000 0.5000 0.3487
Tl 0.0000 0.2005 0.5000
Tl 0.0000 0.2809 0.1520

# 3
Material: TaBiB2O8
Method: DFT, GGA-PBE
State: relaxed

* DFT total energy: -7.5855 eV/atom

Cell: 5.0126 5.0126 6.6322 Å, 90.00 90.00 120.00°
Space group P-3m1 (No. 164)
Inequivalent atoms, fractional coordinates:
Ta 0.0000 0.0000 0.0000
Bi 0.0000 0.0000 0.5000
B 0.3333 0.6667 0.7396
O 0.1744 0.3488 0.8097
O 0.3333 0.6667 0.5170

# 4
Material: NaTiGe2Br
Method: DFT, GGA-PBE
State: relaxed

* DFT total energy: -3.8534 eV/atom

Cell: 4.7896 4.7896 9.5293 Å, 90.00 90.00 90.00°
Space group P4/mmm (No. 123)
Inequivalent atoms, fractional coordinates:
Na 0.0000 0.0000 0.0000
Ti 0.0000 0.0000 0.5000
Ge 0.0000 0.5000 0.5000
Br 0.5000 0.5000 0.0000

# 5
Material: ZrCoSiTe2
Method: DFT, GGA-PBE
State: relaxed

* DFT total energy: -4.9879 eV/atom

Cell: 5.2480 5.2480 4.1533 Å, 90.00 90.00 90.00°
Space group P4/mmm (No. 123)
Inequivalent atoms, fractional coordinates:
Zr 0.0000 0.0000 0.0000
Co 0.5000 0.5000 0.0000
Si 0.5000 0.5000 0.5000
Te 0.0000 0.5000 0.5000

# 6
Material: Ca2Cu7Si
Method: DFT, GGA-PBE
State: relaxed

* DFT total energy: -3.9090 eV/atom

Cell: 3.9917 3.9917 10.3986 Å, 90.00 90.00 90.00°
Space group P-4m2 (No. 115)
Inequivalent atoms, fractional coordinates:
Ca 0.0000 0.5000 0.2485
Cu 0.0000 0.0000 0.0000
Cu 0.0000 0.0000 0.5000
Cu 0.0000 0.5000 0.6373
Cu 0.0000 0.5000 0.8709
Cu 0.5000 0.5000 0.5000
Si 0.5000 0.5000 0.0000

What is the formula in the second record?
Ce5Tl6

Which of these has the highest DFT total energy?
NaTiGe2Br

Among the records above, which one has the highest DFT total energy?
NaTiGe2Br

What is the formula in the sixth record?
Ca2Cu7Si